# 1
Entry from Alexandria via LeMat-Bulk: a geometry-optimized PaPtO structure (GGA-PBE).

Cell: 4.1069 3.8779 3.8779 Å, 120.00 90.00 90.00°
Last column: nearest neighbours and their distance in Å.
Fractional coordinates of all 3 atoms:
Pt1 0.6667 0.3333 0.6667  6 O 3.04, 6 Pa 3.04
Pa1 0.1666 0.6667 0.3333  3 O 2.24
O1 0.1667 0.0000 0.0000  3 Pa 2.24

Summary:
relative energy among the computed polymorphs = 0.57 eV per formula unit
volume = 17.83 Å³/atom
spin magnetization = 0.0 μB/f.u.
energy relative to the elements, uncorrected = -1948 meV per atom

# 2
Entry from Alexandria via LeMat-Bulk: a geometry-optimized Ce7Ga3Si structure (GGA-PBE).

Cell: 5.6457 7.7012 7.7012 Å, 92.32 111.72 111.72°
Last column: nearest neighbours and their distance in Å.
Fractional coordinates of all 11 atoms:
Ce1 0.6581 0.4039 0.9110  1 Ce 2.84, 4 Ga 3.08-3.17, 1 Si 3.15
Ce2 0.0000 0.5000 0.5000  2 Si 2.82, 2 Ga 2.95
Ce3 0.6581 0.9110 0.4039  1 Ce 2.84, 4 Ga 3.08-3.17, 1 Si 3.15
Ce4 0.1704 0.1695 0.1695  1 Si 2.98, 4 Ga 3.02-3.21, 3 Ce 3.06-3.22
Ce5 0.8296 0.8305 0.8305  1 Si 2.98, 4 Ga 3.02-3.21, 3 Ce 3.06-3.22
Ce6 0.3419 0.5961 0.0890  1 Ce 2.84, 4 Ga 3.08-3.17, 1 Si 3.15
Ce7 0.3419 0.0890 0.5961  1 Ce 2.84, 4 Ga 3.08-3.17, 1 Si 3.15
Ga1 0.0000 0.7652 0.2348  9 Ce 2.95-3.17
Ga2 0.5000 0.0000 0.0000  8 Ce 3.08-3.21
Ga3 0.0000 0.2348 0.7652  9 Ce 2.95-3.17
Si1 0.5000 0.5000 0.5000  8 Ce 2.82-3.15

Summary:
volume = 25.71 Å³/atom
spin magnetization = 5.3 μB/f.u.
energy relative to the elements, uncorrected = -307 meV per atom

# 3
Entry from Alexandria via LeMat-Bulk: a geometry-optimized TaIn2W structure (GGA-PBE).

Cell: 4.7339 2.9354 5.6003 Å, 79.59 90.00 90.00°
Last column: nearest neighbours and their distance in Å.
Fractional coordinates of all 4 atoms:
In1 0.0000 0.9603 0.9971  2 W 2.86, 4 In 2.88-2.98, 2 Ta 2.96
In2 0.0000 0.5397 0.5029  2 W 2.86, 4 In 2.88-2.98, 2 Ta 2.96
W1 0.5000 0.7500 0.7500  4 In 2.86, 2 Ta 2.92, 2 W 2.94
Ta1 0.5000 0.2500 0.2500  2 W 2.92, 2 Ta 2.94, 4 In 2.96

Summary:
relative energy among the computed polymorphs = 0.58 eV per formula unit
volume = 19.13 Å³/atom
ΔE_f = 0.46 eV/atom
spin magnetization = 0.0 μB/f.u.

# 4
Entry from Alexandria via LeMat-Bulk: a geometry-optimized P2HPb structure (GGA-PBE).

Cell: 4.6174 4.6174 7.6910 Å, 72.53 72.53 90.00°
Last column: nearest neighbours and their distance in Å.
Fractional coordinates of all 8 atoms:
P1 0.4444 0.1250 0.2500  2 H 2.11
P2 0.3750 0.5556 0.7500  2 H 2.11
P3 0.8750 0.6944 0.7500  2 H 2.11
P4 0.3056 0.6250 0.2500  2 H 2.11
Pb1 0.0000 0.0000 0.0000  4 P 2.88
Pb2 0.7500 0.2500 0.5000  4 P 2.88
H1 0.2500 0.7500 0.5000  4 P 2.11
H2 0.5000 0.5000 0.0000  4 P 2.11

Summary:
relative energy among the computed polymorphs = 0.00 eV per formula unit
volume = 18.56 Å³/atom
spin magnetization = 0.0 μB/f.u.

# 5
Entry from Alexandria via LeMat-Bulk: a geometry-optimized La3HfO structure (GGA-PBE).

Cell: 5.6547 5.6547 5.6547 Å, 90.00 90.00 90.00°
Last column: nearest neighbours and their distance in Å.
Fractional coordinates of all 5 atoms:
O1 0.5000 0.5000 0.5000  12 La 4.00
La1 0.0000 0.0000 0.5000  2 Hf 2.83
La2 0.5000 0.0000 0.0000  2 Hf 2.83
La3 0.0000 0.5000 0.0000  2 Hf 2.83
Hf1 0.0000 0.0000 0.0000  6 La 2.83

Summary:
relative energy among the computed polymorphs = 8.68 eV per formula unit
volume = 36.16 Å³/atom
spin magnetization = 0.0 μB/f.u.
energy relative to the elements, uncorrected = 712 meV per atom

# 6
Entry from Alexandria via LeMat-Bulk: a geometry-optimized PmGa12Tc4 structure (GGA-PBE).

Cell: 8.3132 8.3132 8.3132 Å, 109.47 109.47 109.47°
Last column: nearest neighbours and their distance in Å.
Fractional coordinates of all 17 atoms:
Ga1 0.2625 0.0000 0.7374  2 Tc 2.41
Ga2 0.7374 0.7375 0.4749  2 Tc 2.41
Ga3 0.7374 0.2625 0.0000  2 Tc 2.41
Ga4 0.0000 0.7374 0.2625  2 Tc 2.41
Ga5 0.4749 0.7374 0.7375  2 Tc 2.41
Ga6 0.0000 0.2626 0.7375  2 Tc 2.41
Ga7 0.7375 0.4749 0.7374  2 Tc 2.41
Ga8 0.2626 0.2625 0.5251  2 Tc 2.41
Ga9 0.2625 0.5251 0.2626  2 Tc 2.41
Ga10 0.7375 0.0000 0.2626  2 Tc 2.41
Ga11 0.5251 0.2626 0.2625  2 Tc 2.41
Ga12 0.2626 0.7375 0.0000  2 Tc 2.41
Tc1 0.5000 0.5000 0.5000  6 Ga 2.41
Tc2 0.5000 0.0000 0.0000  6 Ga 2.41
Tc3 0.0000 0.0000 0.5000  6 Ga 2.41
Tc4 0.0000 0.5000 0.0000  6 Ga 2.41
Pm1 0.0000 0.0000 0.0000  12 Ga 3.56

Summary:
volume = 26.02 Å³/atom
ΔE_f = 0.00 eV/atom
spin magnetization = 0.0 μB/f.u.